[1]
Here is a geometry-optimized CoSbS2 structure from Alexandria. Energies are from PBE.

a = 3.3765 Å, b = 3.3765 Å, c = 23.1471 Å
α = 90.00°, β = 90.00°, γ = 120.00°
Closest atoms and distances in Å follow each position.
Space group R-3m (No. 166, hexagonal axes)
Symmetry-distinct sites (fractional):
Co 0.0000 0.0000 0.0000 [3 per cell]  6 S 2.25
Sb 0.0000 0.0000 0.5000 [3 per cell]  2 S 2.73
S 0.0000 0.0000 0.3819 [6 per cell]  3 Co 2.25

Computed properties:
Raw total energy = -5.1446 eV/atom

[2]
Here is a geometry-optimized CoSb2S structure from Alexandria. Energies are from PBE.

a = 5.9067 Å, b = 5.9067 Å, c = 11.7898 Å
α = 90.00°, β = 90.00°, γ = 90.00°
Closest atoms and distances in Å follow each position.
Space group I-42d (No. 122)
Symmetry-distinct sites (fractional):
Co 0.0000 0.0000 0.0000 [4 per cell]  4 Sb 2.39
Sb 0.1967 0.2500 0.1250 [8 per cell]  2 Co 2.39
S 0.0000 0.0000 0.5000 [4 per cell]  4 Sb 2.75

Computed properties:
Raw total energy = -4.7005 eV/atom

[3]
Here is a geometry-optimized Co2SbS2 structure from Alexandria. Energies are from PBE.

a = 3.4311 Å, b = 3.4311 Å, c = 16.3962 Å
α = 90.00°, β = 90.00°, γ = 90.00°
Closest atoms and distances in Å follow each position.
Space group I4/mmm (No. 139)
Symmetry-distinct sites (fractional):
Co 0.0000 0.5000 0.2500 [4 per cell]  4 S 2.18, 4 Co 2.43
Sb 0.0000 0.0000 0.0000 [2 per cell]  4 Sb 3.43, 8 S 3.67
S 0.0000 0.0000 0.3320 [4 per cell]  4 Co 2.18

Computed properties:
E above lowest polymorph = 0 meV per atom

[4]
Here is a geometry-optimized CoSiSbS2 structure from Alexandria. Energies are from PBE.

a = 4.9680 Å, b = 4.9680 Å, c = 5.2247 Å
α = 90.00°, β = 90.00°, γ = 90.00°
Closest atoms and distances in Å follow each position.
Space group P4/mmm (No. 123)
Symmetry-distinct sites (fractional):
Co 0.0000 0.0000 0.0000 [1 per cell]  4 Si 3.51, 8 S 3.60
Si 0.5000 0.5000 0.0000 [1 per cell]  2 Sb 2.61
Sb 0.5000 0.5000 0.5000 [1 per cell]  4 S 2.48, 2 Si 2.61
S 0.0000 0.5000 0.5000 [2 per cell]  2 Sb 2.48

Computed properties:
Raw total energy = -3.6961 eV/atom

[5]
Here is a geometry-optimized CoSi2SbS structure from Alexandria. Energies are from PBE.

a = 4.2941 Å, b = 4.2941 Å, c = 5.0682 Å
α = 90.00°, β = 90.00°, γ = 90.00°
Closest atoms and distances in Å follow each position.
Space group P4/mmm (No. 123)
Symmetry-distinct sites (fractional):
Co 0.0000 0.0000 0.0000 [1 per cell]  4 Si 2.15
Si 0.0000 0.5000 0.0000 [2 per cell]  2 Co 2.15
Sb 0.5000 0.5000 0.5000 [1 per cell]  4 S 3.04, 8 Si 3.32
S 0.0000 0.0000 0.5000 [1 per cell]  2 Co 2.53

Computed properties:
Raw total energy = -4.9079 eV/atom

[6]
Here is a geometry-optimized Sr2CoSbS structure from Alexandria. Energies are from PBE.

a = 5.6870 Å, b = 5.6870 Å, c = 4.5641 Å
α = 90.00°, β = 90.00°, γ = 90.00°
Closest atoms and distances in Å follow each position.
Space group P4/mmm (No. 123)
Symmetry-distinct sites (fractional):
Sr 0.0000 0.5000 0.0000 [2 per cell]  2 Co 2.84
Co 0.0000 0.0000 0.0000 [1 per cell]  2 Sb 2.28
Sb 0.0000 0.0000 0.5000 [1 per cell]  2 Co 2.28
S 0.5000 0.5000 0.5000 [1 per cell]  8 Sr 3.65, 4 Sb 4.02

Computed properties:
Raw total energy = -4.2966 eV/atom

[7]
Here is a geometry-optimized TaCo2SbS structure from Alexandria. Energies are from PBE.

a = 4.5151 Å, b = 4.5151 Å, c = 5.4617 Å
α = 90.00°, β = 90.00°, γ = 90.00°
Closest atoms and distances in Å follow each position.
Space group P4/mmm (No. 123)
Symmetry-distinct sites (fractional):
Ta 0.0000 0.0000 0.0000 [1 per cell]  4 Co 2.26
Co 0.0000 0.5000 0.0000 [2 per cell]  2 Ta 2.26
Sb 0.0000 0.0000 0.5000 [1 per cell]  2 Ta 2.73
S 0.5000 0.5000 0.5000 [1 per cell]  4 Sb 3.19, 8 Co 3.54

Computed properties:
Raw total energy = -5.4547 eV/atom

[8]
Here is a geometry-optimized CoSbTe2S structure from Alexandria. Energies are from PBE.

a = 4.9763 Å, b = 4.9763 Å, c = 4.9175 Å
α = 90.00°, β = 90.00°, γ = 90.00°
Closest atoms and distances in Å follow each position.
Space group P4/mmm (No. 123)
Symmetry-distinct sites (fractional):
Co 0.0000 0.0000 0.0000 [1 per cell]  2 Sb 2.46, 4 Te 2.49
Sb 0.0000 0.0000 0.5000 [1 per cell]  2 Co 2.46
Te 0.0000 0.5000 0.0000 [2 per cell]  2 Co 2.49
S 0.5000 0.5000 0.5000 [1 per cell]  8 Te 3.50, 4 Sb 3.52

Computed properties:
E above lowest polymorph = 0 meV per atom

[9]
Here is a geometry-optimized CoSbTe2S structure from Alexandria. Energies are from PBE.

a = 5.1780 Å, b = 5.1780 Å, c = 5.2066 Å
α = 90.00°, β = 90.00°, γ = 90.00°
Closest atoms and distances in Å follow each position.
Space group P4/mmm (No. 123)
Symmetry-distinct sites (fractional):
Co 0.0000 0.0000 0.0000 [1 per cell]  4 Sb 3.66, 8 Te 3.67
Sb 0.5000 0.5000 0.0000 [1 per cell]  2 S 2.60
Te 0.0000 0.5000 0.5000 [2 per cell]  2 S 2.59
S 0.5000 0.5000 0.5000 [1 per cell]  4 Te 2.59, 2 Sb 2.60

Computed properties:
E above lowest polymorph = 495 meV per atom

[10]
Here is a geometry-optimized ScCoS3 structure from Alexandria. Energies are from PBE.

a = 4.4105 Å, b = 4.4105 Å, c = 4.4105 Å
α = 90.00°, β = 90.00°, γ = 90.00°
Closest atoms and distances in Å follow each position.
Space group Pm-3m (No. 221)
Symmetry-distinct sites (fractional):
Sc 0.0000 0.0000 0.0000 [1 per cell]  12 S 3.12
Co 0.5000 0.5000 0.5000 [1 per cell]  6 S 2.21
S 0.0000 0.5000 0.5000 [3 per cell]  2 Co 2.21

Computed properties:
E above lowest polymorph = 0 meV per atom

[11]
Here is a geometry-optimized ScCoS structure from Alexandria. Energies are from PBE.

a = 3.9986 Å, b = 3.9986 Å, c = 26.4957 Å
α = 90.00°, β = 90.00°, γ = 120.00°
Closest atoms and distances in Å follow each position.
Space group R-3m (No. 166, hexagonal axes)
Symmetry-distinct sites (fractional):
Sc 0.0000 0.0000 0.0655 [6 per cell]  3 S 2.51, 3 Co 2.71
Co 0.0000 0.0000 0.3217 [6 per cell]  3 Co 2.39, 1 S 2.41
S 0.0000 0.0000 0.2306 [6 per cell]  1 Co 2.41, 3 Sc 2.51

Computed properties:
Raw total energy = -6.7558 eV/atom

[12]
Here is a geometry-optimized ScCoS3 structure from Alexandria. Energies are from PBE.

a = 4.8678 Å, b = 4.8678 Å, c = 4.8678 Å
α = 90.00°, β = 90.00°, γ = 90.00°
Closest atoms and distances in Å follow each position.
Space group Pm-3m (No. 221)
Symmetry-distinct sites (fractional):
Sc 0.0000 0.0000 0.0000 [1 per cell]  6 S 2.43
Co 0.5000 0.5000 0.5000 [1 per cell]  12 S 3.44
S 0.0000 0.0000 0.5000 [3 per cell]  2 Sc 2.43

Computed properties:
E above lowest polymorph = 507 meV per atom